No. 1
Li3ZrNb, optimized geometry, DFT GGA-PBEsol; Fermi-level density of states = 5.43 states/eV per cell; space group = Pm-3m; ΔE_f = 1.706 eV per atom
1.0
4.496 0.000 0.000
0.000 4.496 0.000
0.000 0.000 4.496
Li Zr Nb
3 1 1
Direct
0.000 0.000 0.500
0.000 0.500 0.000
0.500 0.000 0.000
0.000 0.000 0.000
0.500 0.500 0.500


No. 2
CaYHg, optimized geometry, DFT GGA-PBEsol; Fermi-level density of states = 3.13 states/eV per cell; space group = P3m1; E above lowest polymorph = 37 kJ/mol of formula units; ΔE_f = -0.240 eV per atom
1.0
5.084 0.000 0.000
-2.542 4.403 0.000
0.000 0.000 3.779
Ca Y Hg
1 1 1
Direct
0.000 0.000 0.000
0.667 0.333 0.539
0.333 0.667 0.316